A plane-wave DFT calculation with PBE-GGA was carried out for CaEr2Hg2 after structural relaxation.

Properties
The density of states at the Fermi level is 0.613 states/eV per atom. As for the space group: P2_1/m. The calculation puts the raw total energy at -27.45 eV per cell.

Unit cell a=3.6940 b=5.3577 c=13.8381 alpha=90.00 beta=97.64 gamma=90.00
With the nearest neighbours (Å) after each atom.
Fractional positions:
Ca 0.8555 0.7500 0.7114  6 Hg 3.25-3.30, 2 Er 3.62
Ca 0.1445 0.2500 0.2886  6 Hg 3.25-3.30, 2 Er 3.62
Er 0.2330 0.7500 0.4659  2 Hg 3.08, 4 Er 3.39
Er 0.9518 0.2500 0.9041  8 Hg 3.14-3.26
Er 0.0482 0.7500 0.0959  8 Hg 3.14-3.26
Er 0.7670 0.2500 0.5341  2 Hg 3.08, 4 Er 3.39
Hg 0.6431 0.7500 0.2858  4 Er 3.08-3.19, 4 Ca 3.25
Hg 0.5460 0.2500 0.0892  6 Er 3.14-3.26, 2 Ca 3.30
Hg 0.3569 0.2500 0.7142  4 Er 3.08-3.19, 4 Ca 3.25
Hg 0.4540 0.7500 0.9108  6 Er 3.14-3.26, 2 Ca 3.30